Record 1
The following is a PBE calculation of a relaxed BaGe2Pd crystal, from Alexandria via LeMat-Bulk.

Calculated values
- Crystal system: trigonal
- Formation energy: -0.62 eV per atom
- Uncorrected energy: -56.5 eV for the cell shown

Cell lengths 4.3504, 4.3504, 17.9033 Å; angles 90.00, 90.00, 120.00 degrees
Space group R-3m (No. 166, hexagonal axes)
Inequivalent atoms, fractional coordinates:
Ba1 0.0000 0.0000 0.0000
Ge1 0.0000 0.0000 0.2087
Pd1 0.0000 0.0000 0.5000

***

Record 2
The following is a PBE calculation of a relaxed MoPd6Pt crystal, from Alexandria via LeMat-Bulk.

Calculated values
- Crystal system: orthorhombic
- Formation energy: -0.06 eV per atom
- Uncorrected energy: -97.0 eV for the cell shown

Cell lengths 4.523, 5.583, 9.725 Å; angles 90.00, 90.00, 90.00 degrees
Space group Amm2 (No. 38)
Inequivalent atoms, fractional coordinates:
Mo1 0.000 0.000 0.000
Pd1 0.000 0.000 0.500
Pd2 0.000 0.249 0.750
Pd3 0.500 0.000 0.663
Pd4 0.500 0.247 0.914
Pt1 0.500 0.000 0.158

***

Record 3
The following is a PBE calculation of a relaxed InSiTc2 crystal, from Alexandria via LeMat-Bulk.

Calculated values
- Crystal system: orthorhombic
- E_form (uncorrected): 0.43 eV/f.u.
- Uncorrected energy: -56.9 eV for the cell shown

Cell lengths 3.146, 4.782, 8.427 Å; angles 90.00, 90.00, 90.00 degrees
Space group Immm (No. 71)
Inequivalent atoms, fractional coordinates:
In1 0.000 0.000 0.000
Si1 0.000 0.000 0.500
Tc1 0.000 0.500 0.215

***

Record 4
The following is a PBE calculation of a relaxed TbY2Mg4 crystal, from Alexandria via LeMat-Bulk.

Calculated values
- Crystal system: tetragonal
- Formation energy: 0.60 eV per atom
- Uncorrected energy: -39.5 eV for the cell shown

Cell lengths 5.544, 5.544, 16.117 Å; angles 90.00, 90.00, 90.00 degrees
Space group I4/mmm (No. 139)
Inequivalent atoms, fractional coordinates:
Tb1 0.000 0.000 0.000
Y1 0.000 0.000 0.396
Mg1 0.000 0.000 0.189
Mg2 0.000 0.500 0.000

***

Record 5
The following is a PBE calculation of a relaxed Mn5ReMo crystal, from Alexandria via LeMat-Bulk.

Calculated values
- Crystal system: orthorhombic
- Formation energy: 0.06 eV per atom
- Uncorrected energy: -274.8 eV for the cell shown

Cell lengths 7.727, 4.601, 9.885 Å; angles 90.00, 90.00, 90.00 degrees
Space group Pnma (No. 62)
Inequivalent atoms, fractional coordinates:
Mn1 0.048 0.250 0.084
Mn2 0.071 0.507 0.312
Mn3 0.093 0.750 0.522
Mn4 0.194 0.750 0.747
Re1 0.136 0.250 0.850
Mo1 0.247 0.750 0.065

***

Record 6
The following is a PBE calculation of a relaxed TeRu3Pt crystal, from Alexandria via LeMat-Bulk.

Calculated values
- Crystal system: cubic
- E_form (uncorrected): 8.43 eV/f.u.
- Uncorrected energy: -28.6 eV for the cell shown

Cell lengths 4.826, 4.826, 4.826 Å; angles 90.00, 90.00, 90.00 degrees
Space group Pm-3m (No. 221)
Inequivalent atoms, fractional coordinates:
Te1 0.000 0.000 0.000
Ru1 0.000 0.500 0.500
Pt1 0.500 0.500 0.500

***

Record 7
The following is a PBE calculation of a relaxed ZnTcPd6 crystal, from Alexandria via LeMat-Bulk.

Calculated values
- Crystal system: tetragonal
- Formation energy: -0.13 eV per atom
- Uncorrected energy: -43.8 eV for the cell shown

Cell lengths 3.920, 3.920, 7.845 Å; angles 90.00, 90.00, 90.00 degrees
Space group P4/mmm (No. 123)
Inequivalent atoms, fractional coordinates:
Zn1 0.000 0.000 0.000
Tc1 0.000 0.000 0.500
Pd1 0.000 0.500 0.254
Pd2 0.500 0.500 0.000
Pd3 0.500 0.500 0.500

***

Record 8
The following is a PBE calculation of a relaxed La12Sm3Zn crystal, from Alexandria via LeMat-Bulk.

Calculated values
- Crystal system: tetragonal
- Formation energy: 0.00 eV per atom
- Uncorrected energy: -74.5 eV for the cell shown

Cell lengths 5.165, 5.165, 20.797 Å; angles 90.00, 90.00, 90.00 degrees
Space group P4/mmm (No. 123)
Inequivalent atoms, fractional coordinates:
La1 0.000 0.000 0.000
La2 0.000 0.000 0.245
La3 0.000 0.000 0.500
La4 0.000 0.500 0.118
La5 0.000 0.500 0.372
Sm1 0.500 0.500 0.244
Sm2 0.500 0.500 0.500
Zn1 0.500 0.500 0.000